# 1
This record from Alexandria describes an optimized crystal structure of BaZn3Au. The functional is PBE.

Cell: 4.4940 4.4931 6.5420 Å, 69.90 69.91 89.87°
Closest atoms and distances in Å follow each position.
Fractional positions:
Au  0.0207  0.8244  0.6641  5 Zn 2.71-2.77
Zn  0.7784  0.5818  0.1479  4 Zn 2.67, 1 Au 2.77
Zn  0.1534  0.4571  0.3987  2 Zn 2.67, 2 Au 2.71
Zn  0.6535  0.9566  0.3987  2 Zn 2.67, 2 Au 2.71
Ba  0.4018  0.2053  0.9017  4 Au 3.45-3.46, 12 Zn 3.47-3.65

Output
- Fermi-level density of states (states/eV/atom) = 0.5893
- polymorph energy (0 for the lowest one) (eV/atom) = 0.000
- energy of formation (eV/f.u.) = -1.7
- E_tot (eV/atom) = -2.147
- V (Å³/atom) = 23.10

***

# 2
This record from Alexandria describes an optimized crystal structure of Ti6C3N. The functional is PBE.

Cell: 5.2794 5.2794 5.7771 Å, 62.81 62.81 60.00°
Closest atoms and distances in Å follow each position.
Fractional positions:
Ti  0.4323  0.7494  0.7494  3 C 2.12-2.16, 1 N 2.14
Ti  0.0689  0.4323  0.7494  3 C 2.12-2.16, 1 N 2.14
Ti  0.9301  0.5743  0.2498  1 N 2.10, 3 C 2.12-2.16
Ti  0.5743  0.2458  0.2498  1 N 2.10, 3 C 2.12-2.16
Ti  0.7494  0.0689  0.7494  3 C 2.12-2.16, 1 N 2.14
Ti  0.2458  0.9301  0.2498  1 N 2.10, 3 C 2.12-2.16
C  0.6581  0.6581  0.0257  6 Ti 2.12-2.16
C  0.3409  0.3409  0.9772  6 Ti 2.12-2.16
C  0.1596  0.1596  0.5213  6 Ti 2.12-2.16
N  0.8406  0.8406  0.4782  6 Ti 2.10-2.14

Output
- Fermi-level density of states (states/eV/atom) = 0.6847
- uncorrected formation energy (meV per atom) = -857
- E_tot (eV/atom) = -9.193
- V (Å³/atom) = 11.85